Record 1
Computed, not measured: crystalline NdSmY2Th at its relaxed geometry at the PBE-GGA level of DFT.

Cell: 6.5388 8.6631 6.3306 Å, 99.59 90.00 90.00°
Fractional coordinates of all 10 atoms:
Nd 0.1696 0.5000 0.7500
Nd 0.8304 0.5000 0.2500
Sm 0.0000 0.0000 0.0000
Sm 0.0000 0.0000 0.5000
Y 0.6803 0.6886 0.8011
Y 0.6803 0.3114 0.6989
Y 0.3197 0.6886 0.3011
Y 0.3197 0.3114 0.1989
Th 0.5546 0.0000 0.2500
Th 0.4454 0.0000 0.7500

Calculated values
Formation energy from the elements = 30 kJ per mole of atoms

Record 2
Computed, not measured: crystalline SmHo3Al8 at its relaxed geometry at the PBE-GGA level of DFT.

Cell: 5.5600 5.5600 9.6751 Å, 73.30 73.30 60.00°
Fractional coordinates of all 12 atoms:
Sm 0.8750 0.8750 0.3750
Ho 0.3754 0.3754 0.8738
Ho 0.0000 0.0000 0.9999
Ho 0.4995 0.4995 0.5016
Al 0.9385 0.4380 0.1855
Al 0.4364 0.9371 0.6894
Al 0.4380 0.4380 0.1855
Al 0.9371 0.9371 0.6894
Al 0.1873 0.1873 0.4382
Al 0.6877 0.6877 0.9370
Al 0.4380 0.9385 0.1855
Al 0.9371 0.4364 0.6894

Calculated values
Formation energy from the elements = -49 kJ per mole of atoms
Energy above the lowest structure with this stoichiometry = 0 meV/atom

Record 3
Computed, not measured: crystalline Rb2As2Br7 at its relaxed geometry at the PBE-GGA level of DFT.

Cell: 5.0661 10.0187 10.0187 Å, 117.69 96.16 96.16°
Fractional coordinates of all 11 atoms:
Rb 0.0000 0.2910 0.7090
Rb 0.0000 0.7090 0.2910
As 0.3290 0.2262 0.2262
As 0.6710 0.7738 0.7738
Br 0.6972 0.9128 0.6039
Br 0.3028 0.3961 0.0872
Br 0.3028 0.0872 0.3961
Br 0.6972 0.6039 0.9128
Br 0.5000 0.0000 0.0000
Br 0.2297 0.6357 0.6357
Br 0.7703 0.3643 0.3643

Calculated values
Raw formation energy = -0.816 eV per atom

Number 1: E -5.654 eV per atom. Number 2: E -4.544 eV per atom. Number 3: E -2.902 eV per atom.